# Ta4SnC2S PBE relaxed
# M_tot (μB/f.u.): 0.01
# Crystal system: hexagonal
data_Ta4SnC2S
_chemical_formula_sum 'Ta4 Sn1 C2 S1'
_symmetry_space_group_name_H-M 'P 1'
_symmetry_Int_Tables_number 1
_symmetry_space_group_name_Hall 'P 1'
_cell_length_a 3.280
_cell_length_b 3.280
_cell_length_c 12.737
_cell_angle_alpha 90.00
_cell_angle_beta 90.00
_cell_angle_gamma 120.00
loop_
_atom_site_label
_atom_site_fract_x
_atom_site_fract_y
_atom_site_fract_z
_atom_site_occupancy
C1 0.333 0.667 0.231 1
C2 0.333 0.667 0.769 1
S1 0.000 0.000 0.000 1
Sn1 0.667 0.333 0.500 1
Ta1 0.667 0.333 0.141 1
Ta2 0.000 0.000 0.317 1
Ta3 0.000 0.000 0.683 1
Ta4 0.667 0.333 0.859 1



# Ta4SnC2S PBE relaxed
# M_tot (μB/f.u.): 0.01
# Crystal system: hexagonal
data_Ta4SnC2S
_chemical_formula_sum 'Ta4 Sn1 C2 S1'
_symmetry_space_group_name_H-M 'P 1'
_symmetry_Int_Tables_number 1
_symmetry_space_group_name_Hall 'P 1'
_cell_length_a 3.280
_cell_length_b 3.280
_cell_length_c 12.737
_cell_angle_alpha 90.00
_cell_angle_beta 90.00
_cell_angle_gamma 120.00
loop_
_atom_site_label
_atom_site_fract_x
_atom_site_fract_y
_atom_site_fract_z
_atom_site_occupancy
C1 0.333 0.667 0.269 1
C2 0.333 0.667 0.731 1
S1 0.667 0.333 0.500 1
Sn1 0.000 0.000 0.000 1
Ta1 0.667 0.333 0.183 1
Ta2 0.000 0.000 0.359 1
Ta3 0.000 0.000 0.641 1
Ta4 0.667 0.333 0.817 1



# Tb4SnC2S PBE relaxed
# M_tot (μB/f.u.): 0.00
# Crystal system: hexagonal
data_Tb4SnC2S
_chemical_formula_sum 'Tb4 Sn1 C2 S1'
_symmetry_space_group_name_H-M 'P 1'
_symmetry_Int_Tables_number 1
_symmetry_space_group_name_Hall 'P 1'
_cell_length_a 3.690
_cell_length_b 3.690
_cell_length_c 14.478
_cell_angle_alpha 90.00
_cell_angle_beta 90.00
_cell_angle_gamma 120.00
loop_
_atom_site_label
_atom_site_fract_x
_atom_site_fract_y
_atom_site_fract_z
_atom_site_occupancy
C1 0.667 0.333 0.226 1
C2 0.667 0.333 0.774 1
S1 0.000 0.000 0.000 1
Sn1 0.333 0.667 0.500 1
Tb1 0.333 0.667 0.131 1
Tb2 0.000 0.000 0.318 1
Tb3 0.000 0.000 0.682 1
Tb4 0.333 0.667 0.869 1



# Zr4SnC2S PBE relaxed
# M_tot (μB/f.u.): 0.00
# Crystal system: hexagonal
data_Zr4SnC2S
_chemical_formula_sum 'Zr4 Sn1 C2 S1'
_symmetry_space_group_name_H-M 'P 1'
_symmetry_Int_Tables_number 1
_symmetry_space_group_name_Hall 'P 1'
_cell_length_a 3.403
_cell_length_b 3.403
_cell_length_c 13.491
_cell_angle_alpha 90.00
_cell_angle_beta 90.00
_cell_angle_gamma 120.00
loop_
_atom_site_label
_atom_site_fract_x
_atom_site_fract_y
_atom_site_fract_z
_atom_site_occupancy
C1 0.667 0.333 0.229 1
C2 0.667 0.333 0.771 1
S1 0.333 0.667 0.000 1
Sn1 0.000 0.000 0.500 1
Zr1 0.000 0.000 0.135 1
Zr2 0.333 0.667 0.320 1
Zr3 0.333 0.667 0.680 1
Zr4 0.000 0.000 0.865 1



# Zr4SnC2S PBE relaxed
# M_tot (μB/f.u.): 0.00
# Crystal system: hexagonal
data_Zr4SnC2S
_chemical_formula_sum 'Zr4 Sn1 C2 S1'
_symmetry_space_group_name_H-M 'P 1'
_symmetry_Int_Tables_number 1
_symmetry_space_group_name_Hall 'P 1'
_cell_length_a 3.401
_cell_length_b 3.401
_cell_length_c 13.504
_cell_angle_alpha 90.00
_cell_angle_beta 90.00
_cell_angle_gamma 120.00
loop_
_atom_site_label
_atom_site_fract_x
_atom_site_fract_y
_atom_site_fract_z
_atom_site_occupancy
C1 0.333 0.667 0.270 1
C2 0.333 0.667 0.730 1
S1 0.667 0.333 0.500 1
Sn1 0.000 0.000 0.000 1
Zr1 0.667 0.333 0.179 1
Zr2 0.000 0.000 0.365 1
Zr3 0.000 0.000 0.635 1
Zr4 0.667 0.333 0.821 1



# Ta4W2C3S3 PBE relaxed
# M_tot (μB/f.u.): 0.00
# Crystal system: monoclinic
data_Ta4W2C3S3
_chemical_formula_sum 'Ta8 W4 C6 S6'
_symmetry_space_group_name_H-M 'P 1'
_symmetry_Int_Tables_number 1
_symmetry_space_group_name_Hall 'P 1'
_cell_length_a 5.651
_cell_length_b 5.651
_cell_length_c 12.202
_cell_angle_alpha 103.76
_cell_angle_beta 103.76
_cell_angle_gamma 60.12
loop_
_atom_site_label
_atom_site_fract_x
_atom_site_fract_y
_atom_site_fract_z
_atom_site_occupancy
C1 0.000 0.500 0.000 1
C2 0.327 0.844 0.001 1
C3 0.156 0.673 0.499 1
C4 0.500 0.000 0.500 1
C5 0.844 0.327 0.501 1
C6 0.673 0.156 0.999 1
S1 0.418 0.260 0.249 1
S2 0.095 0.905 0.250 1
S3 0.740 0.582 0.251 1
S4 0.260 0.418 0.749 1
S5 0.905 0.095 0.750 1
S6 0.582 0.740 0.751 1
Ta1 0.700 0.856 0.096 1
Ta2 0.022 0.211 0.096 1
Ta3 0.789 0.978 0.404 1
Ta4 0.144 0.300 0.404 1
Ta5 0.856 0.700 0.596 1
Ta6 0.211 0.022 0.596 1
Ta7 0.978 0.789 0.904 1
Ta8 0.300 0.144 0.904 1
W1 0.377 0.529 0.089 1
W2 0.471 0.623 0.411 1
W3 0.529 0.377 0.589 1
W4 0.623 0.471 0.911 1



# Ta2W4C3S3 PBE relaxed
# M_tot (μB/f.u.): 0.00
# Crystal system: monoclinic
data_Ta2W4C3S3
_chemical_formula_sum 'Ta4 W8 C6 S6'
_symmetry_space_group_name_H-M 'P 1'
_symmetry_Int_Tables_number 1
_symmetry_space_group_name_Hall 'P 1'
_cell_length_a 5.665
_cell_length_b 5.665
_cell_length_c 12.092
_cell_angle_alpha 102.81
_cell_angle_beta 102.81
_cell_angle_gamma 59.65
loop_
_atom_site_label
_atom_site_fract_x
_atom_site_fract_y
_atom_site_fract_z
_atom_site_occupancy
C1 0.500 0.000 0.000 1
C2 0.859 0.319 0.002 1
C3 0.681 0.141 0.498 1
C4 0.000 0.500 0.500 1
C5 0.319 0.859 0.502 1
C6 0.141 0.681 0.998 1
S1 0.230 0.420 0.249 1
S2 0.922 0.078 0.250 1
S3 0.580 0.770 0.251 1
S4 0.420 0.230 0.749 1
S5 0.078 0.922 0.750 1
S6 0.770 0.580 0.751 1
Ta1 0.527 0.391 0.106 1
Ta2 0.609 0.473 0.394 1
Ta3 0.391 0.527 0.606 1
Ta4 0.473 0.609 0.894 1
W1 0.223 0.999 0.085 1
W2 0.838 0.689 0.086 1
W3 0.311 0.162 0.414 1
W4 0.001 0.777 0.415 1
W5 0.999 0.223 0.585 1
W6 0.689 0.838 0.586 1
W7 0.162 0.311 0.914 1
W8 0.777 0.001 0.915 1



# Y4Ta2C3S3 PBE relaxed
# M_tot (μB/f.u.): 0.00
# Crystal system: monoclinic
data_Y4Ta2C3S3
_chemical_formula_sum 'Y8 Ta4 C6 S6'
_symmetry_space_group_name_H-M 'P 1'
_symmetry_Int_Tables_number 1
_symmetry_space_group_name_Hall 'P 1'
_cell_length_a 6.098
_cell_length_b 6.098
_cell_length_c 12.987
_cell_angle_alpha 103.56
_cell_angle_beta 103.56
_cell_angle_gamma 60.31
loop_
_atom_site_label
_atom_site_fract_x
_atom_site_fract_y
_atom_site_fract_z
_atom_site_occupancy
C1 0.648 0.204 0.000 1
C2 0.000 0.500 0.000 1
C3 0.352 0.796 0.000 1
C4 0.204 0.648 0.500 1
C5 0.500 0.000 0.500 1
C6 0.796 0.352 0.500 1
S1 0.718 0.583 0.248 1
S2 0.120 0.880 0.250 1
S3 0.417 0.282 0.252 1
S4 0.583 0.718 0.748 1
S5 0.880 0.120 0.750 1
S6 0.282 0.417 0.752 1
Ta1 0.353 0.528 0.086 1
Ta2 0.472 0.647 0.414 1
Ta3 0.528 0.353 0.586 1
Ta4 0.647 0.472 0.914 1
Y1 0.046 0.194 0.109 1
Y2 0.703 0.880 0.109 1
Y3 0.120 0.297 0.391 1
Y4 0.806 0.954 0.391 1
Y5 0.194 0.046 0.609 1
Y6 0.880 0.703 0.609 1
Y7 0.297 0.120 0.891 1
Y8 0.954 0.806 0.891 1



# Y2Ta4C3S3 PBE relaxed
# M_tot (μB/f.u.): 0.00
# Crystal system: monoclinic
data_Y2Ta4C3S3
_chemical_formula_sum 'Y4 Ta8 C6 S6'
_symmetry_space_group_name_H-M 'P 1'
_symmetry_Int_Tables_number 1
_symmetry_space_group_name_Hall 'P 1'
_cell_length_a 5.899
_cell_length_b 5.899
_cell_length_c 12.445
_cell_angle_alpha 103.46
_cell_angle_beta 103.46
_cell_angle_gamma 60.23
loop_
_atom_site_label
_atom_site_fract_x
_atom_site_fract_y
_atom_site_fract_z
_atom_site_occupancy
C1 0.500 0.000 0.000 1
C2 0.853 0.324 0.000 1
C3 0.147 0.676 0.000 1
C4 0.324 0.853 0.500 1
C5 0.000 0.500 0.500 1
C6 0.676 0.147 0.500 1
S1 0.215 0.417 0.249 1
S2 0.948 0.052 0.250 1
S3 0.583 0.785 0.251 1
S4 0.417 0.215 0.749 1
S5 0.052 0.948 0.750 1
S6 0.785 0.583 0.751 1
Ta1 0.205 0.023 0.089 1
Ta2 0.853 0.700 0.090 1
Ta3 0.300 0.147 0.410 1
Ta4 0.977 0.795 0.411 1
Ta5 0.023 0.205 0.589 1
Ta6 0.700 0.853 0.590 1
Ta7 0.147 0.300 0.910 1
Ta8 0.795 0.977 0.911 1
Y1 0.537 0.378 0.112 1
Y2 0.622 0.463 0.388 1
Y3 0.378 0.537 0.612 1
Y4 0.463 0.622 0.888 1



# Tb4TeC2S PBE relaxed
# M_tot (μB/f.u.): 0.00
# Crystal system: hexagonal
data_Tb4TeC2S
_chemical_formula_sum 'Tb4 Te1 C2 S1'
_symmetry_space_group_name_H-M 'P 1'
_symmetry_Int_Tables_number 1
_symmetry_space_group_name_Hall 'P 1'
_cell_length_a 3.775
_cell_length_b 3.775
_cell_length_c 13.631
_cell_angle_alpha 90.00
_cell_angle_beta 90.00
_cell_angle_gamma 120.00
loop_
_atom_site_label
_atom_site_fract_x
_atom_site_fract_y
_atom_site_fract_z
_atom_site_occupancy
C1 0.667 0.333 0.238 1
C2 0.667 0.333 0.762 1
S1 0.000 0.000 0.000 1
Tb1 0.333 0.667 0.137 1
Tb2 0.000 0.000 0.334 1
Tb3 0.000 0.000 0.666 1
Tb4 0.333 0.667 0.863 1
Te1 0.333 0.667 0.500 1



| no. | electronic total energy (eV per atom) |
| --- | --- |
| 1 | -9.781 |
| 2 | -9.781 |
| 3 | -6.507 |
| 4 | -8.661 |
| 5 | -8.661 |
| 6 | -9.859 |
| 7 | -9.769 |
| 8 | -8.574 |
| 9 | -9.280 |
| 10 | -6.572 |